# 1
Below is an optimized crystal structure of CsCoCuCl5, with properties calculated at the PBE level.

Geometry as POSCAR:
```
CsCoCuCl5
1.0
7.366 0.066 0.191
-2.087 7.064 0.191
-1.979 -2.673 8.036
Cs Co Cu Cl
2 2 2 10
Cartesian
0.769 3.915 2.200
2.530 0.542 6.218
-0.990 -1.337 4.018
0.000 0.000 0.000
4.024 1.506 2.200
-0.724 2.952 6.218
-2.012 5.975 2.200
5.312 -1.517 6.218
6.015 1.724 1.017
-2.716 2.733 7.401
4.397 -0.463 3.383
-1.097 4.920 5.035
3.731 3.229 3.676
-0.431 1.228 4.743
2.290 1.283 0.725
1.010 3.174 7.694
```

Calculated values
D(E_F) = 1.16 states/eV per atom
uncorrected formation energy = -858 meV/atom
space-group type = No. 15

# 2
Below is an optimized crystal structure of CsCoCuCl6, with properties calculated at the PBE level.

Geometry as POSCAR:
```
CsCoCuCl6
1.0
6.196 0.001 0.000
3.098 5.365 0.000
0.000 -0.001 7.828
Cs Co Cu Cl
1 1 1 6
Cartesian
6.196 0.000 7.828
3.098 1.788 3.914
6.196 3.577 3.914
1.250 1.921 2.614
2.289 0.122 5.214
4.945 1.920 5.214
2.060 3.322 5.214
4.136 3.322 2.614
3.907 0.123 2.614
```

Calculated values
D(E_F) = 0.65 states/eV per atom
uncorrected formation energy = -838 meV/atom
space-group type = No. 149

# 3
Below is an optimized crystal structure of CsErCoCl6, with properties calculated at the PBE level.

Geometry as POSCAR:
```
CsErCoCl6
1.0
6.670 0.003 -0.005
3.338 5.776 0.006
-0.012 0.019 7.842
Cs Er Co Cl
1 1 1 6
Cartesian
6.658 0.022 7.837
3.333 1.937 3.921
6.673 3.866 3.921
7.833 2.232 2.461
5.838 5.688 5.381
5.474 2.280 5.402
8.651 3.667 5.372
4.700 3.620 2.440
7.490 5.678 2.471
```

Calculated values
D(E_F) = 0.07 states/eV per atom
uncorrected formation energy = -1659 meV/atom
space-group type = No. 5

# 4
Below is an optimized crystal structure of CsErCo2Cl8, with properties calculated at the PBE level.

Geometry as POSCAR:
```
CsErCo2Cl8
1.0
-5.805 -0.832 -2.762
-4.411 -2.103 4.259
-3.605 9.236 2.388
Cs Er Co Cl
1 1 2 8
Cartesian
-1.803 4.618 1.194
0.000 0.000 0.000
-7.021 0.053 1.403
-6.801 6.248 2.482
-8.514 6.293 0.943
-7.765 -2.085 1.164
-8.424 1.635 1.969
-5.398 4.666 1.917
-6.057 8.386 2.721
-7.815 5.656 4.463
-6.007 0.645 -0.577
-5.308 0.007 2.942
```

Calculated values
uncorrected formation energy = -1365 meV/atom
space-group type = No. 12

Question: Which of these has the lowest uncorrected formation energy?
Answer: CsErCoCl6